Compound: NiAgPd3
Source: Alexandria via LeMat-Bulk
Functional: PBE-GGA
Structure: optimized geometry

Summary:
Crystal system: cubic
Formation energy from the elements, eV/atom: 0.72
Space-group type: Pm-3m
Total magnetization, μB per cell: 0.565

```
NiAgPd3
1.0
-0.059 -0.013 -4.569
-0.990 -4.461 0.025
-4.461 0.990 0.055
Ni Pd Ag
1 3 1
direct
0.000 0.000 0.000
0.000 0.500 0.000
0.000 0.000 0.500
0.500 0.000 0.000
0.500 0.500 0.500
```